1.
An optimized crystal structure of TaCd. Source: the Alexandria database, functional PBEsol.

It has space group Cm (No. 8), with a = 11.2121 Å, b = 2.8031 Å, c = 7.3099 Å, α = 90.00°, β = 103.63° and γ = 90.00°. Symmetry generates all atoms from Ta at (0.0000, 0.0000, 0.0000), Ta at (0.0634, 0.0000, 0.6567), Ta at (0.2265, 0.5000, 0.9746), Cd at (0.1577, 0.5000, 0.3483), Cd at (0.3299, 0.0000, 0.6809) and Cd at (0.3957, 0.0000, 0.3069).

For the density of states at the Fermi level, the calculation gives 1.279 states/eV/f.u. Its crystal system is monoclinic. The calculation puts the density at 13.09 g cm⁻³. As for the formation energy: 242.4 meV per atom.

---

2.
An optimized crystal structure of Rb3FeF6. Source: the Alexandria database, functional PBEsol.

It has space group I4/mmm (No. 139), with a = 6.2402 Å, b = 6.2402 Å, c = 9.3393 Å, α = 90.00°, β = 90.00° and γ = 90.00°. Symmetry generates all atoms from Rb at (0.0000, 0.0000, 0.0000), Rb at (0.0000, 0.5000, 0.2500), Fe at (0.0000, 0.0000, 0.5000), F at (0.0000, 0.0000, 0.2937) and F at (0.0000, 0.2945, 0.5000).

For the density of states at the Fermi level, the calculation gives 11.147 states/eV/f.u. Its crystal system is tetragonal. The calculation puts the density at 3.89 g cm⁻³. The value obtained for the raw formation energy is -2420 meV/atom.